Compound: HfV2GeH
Source: Alexandria via LeMat-Bulk
Functional: PBE
Structure: optimized geometry

a b c (Å): 3.8843 3.8843 4.2824
angles (deg): 90.00 90.00 90.00
Last column: nearest neighbours and their distance in Å.
Space group P4/mmm (No. 123)
Symmetry-distinct sites (fractional):
Hf (0.0000, 0.0000, 0.0000) [1 per cell]  2 H 2.14
V (0.0000, 0.5000, 0.5000) [2 per cell]  2 H 1.94
Ge (0.5000, 0.5000, 0.0000) [1 per cell]  4 Hf 2.75, 8 V 2.89
H (0.0000, 0.0000, 0.5000) [1 per cell]  4 V 1.94, 2 Hf 2.14

Computed properties:
- spin magnetization (Bohr magnetons per cell) = 0.00
- calculated total energy (eV for the cell shown) = -37.3